(1)
## LaNd2Th (PBE)

Data for a geometry-optimized LaNd2Th structure.

abc: 3.6612 3.6612 12.1734
angles: 81.35 81.35 60.00
Closest atoms and distances in Å follow each position.
Atoms (fractional coordinates):
Th (0.5000, 0.5000, 0.5000)  6 Nd 3.57, 6 Th 3.66
La (0.0000, 0.0000, 0.0000)  6 La 3.66, 6 Nd 3.76
Nd (0.2468, 0.2468, 0.2596)  3 Th 3.57, 6 Nd 3.66, 3 La 3.76
Nd (0.7532, 0.7532, 0.7404)  3 Th 3.57, 6 Nd 3.66, 3 La 3.76

- Offset from the most stable computed form: 3 meV/atom
- Magnetic moment: 0.000 μB per cell

(2)
## La6Nd5Th2 (PBE)

Data for a geometry-optimized La6Nd5Th2 structure.

abc: 3.6714 11.8326 21.5106
angles: 90.00 90.00 90.00
Closest atoms and distances in Å follow each position.
Atoms (fractional coordinates):
Nd (0.5000, 0.3123, 0.4140)  3 Nd 3.67-3.88, 6 La 3.68-3.84, 2 Th 3.71
Nd (0.5000, 0.8123, 0.0860)  3 Nd 3.67-3.88, 6 La 3.68-3.84, 2 Th 3.71
Nd (0.5000, 0.5560, 0.2936)  5 La 3.52-3.67, 4 Th 3.56-3.68, 3 Nd 3.67-3.88
Nd (0.5000, 0.9440, 0.7936)  5 La 3.52-3.67, 4 Th 3.56-3.68, 3 Nd 3.67-3.88
Nd (0.5000, 0.5000, 0.0000)  6 La 3.48-3.72, 2 Nd 3.67
Nd (0.5000, 0.6877, 0.5860)  3 Nd 3.67-3.88, 6 La 3.68-3.84, 2 Th 3.71
Nd (0.5000, 0.0560, 0.2064)  5 La 3.52-3.67, 4 Th 3.56-3.68, 3 Nd 3.67-3.88
Nd (0.5000, 0.0000, 0.5000)  6 La 3.48-3.72, 2 Nd 3.67
Nd (0.5000, 0.4440, 0.7064)  5 La 3.52-3.67, 4 Th 3.56-3.68, 3 Nd 3.67-3.88
Nd (0.5000, 0.1877, 0.9140)  3 Nd 3.67-3.88, 6 La 3.68-3.84, 2 Th 3.71
Th (0.0000, 0.6958, 0.7357)  3 La 3.41-3.50, 6 Nd 3.56-3.71, 2 Th 3.67
Th (0.0000, 0.3042, 0.2643)  3 La 3.41-3.50, 6 Nd 3.56-3.71, 2 Th 3.67
Th (0.0000, 0.1958, 0.7643)  3 La 3.41-3.50, 6 Nd 3.56-3.71, 2 Th 3.67
Th (0.0000, 0.8042, 0.2357)  3 La 3.41-3.50, 6 Nd 3.56-3.71, 2 Th 3.67
La (0.0000, 0.0841, 0.0601)  3 La 3.26-3.58
La (0.0000, 0.5660, 0.1461)  1 Th 3.41, 4 La 3.52-3.67, 6 Nd 3.67-3.72
La (0.0000, 0.4159, 0.5601)  3 La 3.26-3.58
La (0.5000, 0.3151, 0.1257)  2 Nd 3.48-3.52, 2 Th 3.50, 6 La 3.52-3.67
La (0.0000, 0.0660, 0.3539)  1 Th 3.41, 4 La 3.52-3.67, 6 Nd 3.67-3.72
La (0.0000, 0.9340, 0.6461)  1 Th 3.41, 4 La 3.52-3.67, 6 Nd 3.67-3.72
La (0.5000, 0.8151, 0.3743)  2 Nd 3.48-3.52, 2 Th 3.50, 6 La 3.52-3.67
La (0.5000, 0.6849, 0.8743)  2 Nd 3.48-3.52, 2 Th 3.50, 6 La 3.52-3.67
La (0.5000, 0.1849, 0.6257)  2 Nd 3.48-3.52, 2 Th 3.50, 6 La 3.52-3.67
La (0.0000, 0.9159, 0.9399)  3 La 3.26-3.58
La (0.0000, 0.4340, 0.8539)  1 Th 3.41, 4 La 3.52-3.67, 6 Nd 3.67-3.72
La (0.0000, 0.5841, 0.4399)  3 La 3.26-3.58

- Electronic total energy: -5.138 eV per atom
- Magnetic moment: 0.000 μB per cell

(3)
## La4Nd2Th (PBE)

Data for a geometry-optimized La4Nd2Th structure.

abc: 3.5214 6.0682 12.1841
angles: 104.42 90.00 90.00
Closest atoms and distances in Å follow each position.
Atoms (fractional coordinates):
La (0.5000, 0.6332, 0.2664)  6 La 3.52-3.77, 3 Nd 3.57-3.60, 2 Th 3.60
La (0.0000, 0.0747, 0.1495)  2 Th 3.51, 7 La 3.52-3.77, 2 Nd 3.76
La (0.5000, 0.3668, 0.7336)  6 La 3.52-3.77, 3 Nd 3.57-3.60, 2 Th 3.60
La (0.0000, 0.9253, 0.8505)  2 Th 3.51, 7 La 3.52-3.77, 2 Nd 3.76
Th (0.0000, 0.5000, 0.0000)  8 La 3.51-3.60, 2 Th 3.52
Nd (0.5000, 0.2154, 0.4308)  4 Nd 3.45-3.52, 5 La 3.57-3.76
Nd (0.5000, 0.7846, 0.5692)  4 Nd 3.45-3.52, 5 La 3.57-3.76

- Electronic total energy: -5.036 eV per atom
- Magnetic moment: 0.000 μB per cell

(4)
## LaNdTh4 (PBE)

Data for a geometry-optimized LaNdTh4 structure.

abc: 6.6941 6.6941 6.6941
angles: 60.00 60.00 60.00
Closest atoms and distances in Å follow each position.
Atoms (fractional coordinates):
Nd (0.0000, 0.0000, 0.0000)  12 Th 3.92, 4 La 4.10
Th (0.1241, 0.6253, 0.6253)  6 Th 3.34-3.36
Th (0.6253, 0.6253, 0.1241)  6 Th 3.34-3.36
Th (0.6253, 0.1241, 0.6253)  6 Th 3.34-3.36
Th (0.6253, 0.6253, 0.6253)  6 Th 3.34-3.36
La (0.2500, 0.2500, 0.2500)  12 Th 3.93, 4 Nd 4.10

- Offset from the most stable computed form: 192 meV/atom
- Magnetic moment: 0.000 μB per cell

(5)
## LaNdTh4 (PBE)

Data for a geometry-optimized LaNdTh4 structure.

abc: 3.6158 3.6158 15.2707
angles: 90.00 90.00 90.00
Closest atoms and distances in Å follow each position.
Atoms (fractional coordinates):
Th (0.0000, 0.0000, 0.3287)  8 Th 3.52-3.62, 4 La 3.66
Th (0.0000, 0.0000, 0.6713)  8 Th 3.52-3.62, 4 La 3.66
Th (0.5000, 0.5000, 0.8293)  8 Th 3.52-3.62, 4 Nd 3.65
Th (0.5000, 0.5000, 0.1707)  8 Th 3.52-3.62, 4 Nd 3.65
Nd (0.0000, 0.0000, 0.0000)  4 Nd 3.62, 8 Th 3.65
La (0.5000, 0.5000, 0.5000)  4 La 3.62, 8 Th 3.66

- Offset from the most stable computed form: 0 meV/atom
- Magnetic moment: 0.000 μB per cell

(6)
## LaNdTh2 (PBE)

Data for a geometry-optimized LaNdTh2 structure.

abc: 3.5360 3.5360 12.7608
angles: 82.04 82.04 60.00
Closest atoms and distances in Å follow each position.
Atoms (fractional coordinates):
Nd (0.5000, 0.5000, 0.5000)  6 Nd 3.54, 6 Th 3.62
La (0.0000, 0.0000, 0.0000)  2 Th 3.31, 6 La 3.54
Th (0.0876, 0.0876, 0.7373)  1 La 3.31, 6 Th 3.54, 3 Nd 3.62
Th (0.9124, 0.9124, 0.2627)  1 La 3.31, 6 Th 3.54, 3 Nd 3.62

- Offset from the most stable computed form: 177 meV/atom
- Magnetic moment: 0.000 μB per cell

(7)
## La2Nd9Th (PBE)

Data for a geometry-optimized La2Nd9Th structure.

abc: 5.2014 5.2014 15.6311
angles: 90.00 90.00 90.00
Closest atoms and distances in Å follow each position.
Atoms (fractional coordinates):
Nd (0.5000, 0.0000, 0.8386)  2 Th 3.62, 8 Nd 3.62-3.73, 2 La 3.73
Nd (0.5000, 0.5000, 0.6676)  4 La 3.68, 8 Nd 3.69-3.73
Nd (0.5000, 0.5000, 0.0000)  8 Nd 3.62, 4 Th 3.68
Nd (0.0000, 0.5000, 0.8386)  2 Th 3.62, 8 Nd 3.62-3.73, 2 La 3.73
Nd (0.5000, 0.0000, 0.5000)  8 Nd 3.68-3.69, 4 La 3.69
Nd (0.5000, 0.0000, 0.1614)  8 Nd 3.62-3.73, 2 Th 3.62, 2 La 3.73
Nd (0.0000, 0.5000, 0.1614)  2 Th 3.62, 8 Nd 3.62-3.73, 2 La 3.73
Nd (0.0000, 0.5000, 0.5000)  8 Nd 3.68-3.69, 4 La 3.69
Nd (0.5000, 0.5000, 0.3324)  4 La 3.68, 8 Nd 3.69-3.73
Th (0.0000, 0.0000, 0.0000)  12 Nd 3.62-3.68
La (0.0000, 0.0000, 0.3324)  12 Nd 3.68-3.73
La (0.0000, 0.0000, 0.6676)  12 Nd 3.68-3.73

- Electronic total energy: -4.991 eV per atom
- Magnetic moment: 0.000 μB per cell

(8)
## La3Nd4Th2 (PBE)

Data for a geometry-optimized La3Nd4Th2 structure.

abc: 3.6324 3.6324 27.7714
angles: 90.00 90.00 120.00
Closest atoms and distances in Å follow each position.
Atoms (fractional coordinates):
Nd (0.6667, 0.3333, 0.4345)  9 Nd 3.63-3.65, 3 La 3.81
Nd (0.0000, 0.0000, 0.5420)  9 Nd 3.63-3.65, 3 La 3.76
Nd (0.0000, 0.0000, 0.7671)  3 Th 3.62, 6 Nd 3.63, 3 La 3.77
Nd (0.6667, 0.3333, 0.2123)  1 Th 3.37, 6 Nd 3.63, 3 La 3.65
La (0.6667, 0.3333, 0.6544)  6 La 3.63, 6 Nd 3.76-3.77
La (0.0000, 0.0000, 0.9823)  6 La 3.63, 6 Th 3.68
La (0.0000, 0.0000, 0.3200)  6 La 3.63, 6 Nd 3.65-3.81
Th (0.6667, 0.3333, 0.0911)  1 Nd 3.37, 6 Th 3.63, 3 La 3.68
Th (0.6667, 0.3333, 0.8735)  3 Nd 3.62, 6 Th 3.63, 3 La 3.68

- Offset from the most stable computed form: 44 meV/atom
- Magnetic moment: 0.000 μB per cell

(9)
## LaNd8Th4 (PBE)

Data for a geometry-optimized LaNd8Th4 structure.

abc: 11.4281 11.4281 7.9510
angles: 90.00 135.94 120.00
Closest atoms and distances in Å follow each position.
Atoms (fractional coordinates):
Th (0.5000, 0.5000, 0.0000)  8 Nd 3.47-3.54
Th (0.0000, 0.0000, 0.0000)  8 Nd 3.16-3.33
Th (0.5000, 0.0000, 0.0000)  8 Nd 3.47-3.54
Th (0.0000, 0.5000, 0.0000)  8 Nd 3.47-3.54
Nd (0.9765, 0.2311, 0.2076)  4 Th 3.33-3.52, 1 La 3.63, 2 Nd 3.70
Nd (0.4743, 0.2371, 0.7114)  1 Th 3.16, 1 La 3.50
Nd (0.0235, 0.7689, 0.7924)  4 Th 3.33-3.52, 1 La 3.63, 2 Nd 3.70
Nd (0.5378, 0.7689, 0.7925)  4 Th 3.33-3.52, 1 La 3.63, 2 Nd 3.70
Nd (0.4622, 0.2311, 0.2075)  4 Th 3.33-3.52, 1 La 3.63, 2 Nd 3.70
Nd (0.9764, 0.7453, 0.2076)  4 Th 3.33-3.52, 1 La 3.63, 2 Nd 3.70
Nd (0.5257, 0.7629, 0.2886)  1 Th 3.16, 1 La 3.50
Nd (0.0236, 0.2547, 0.7924)  4 Th 3.33-3.52, 1 La 3.63, 2 Nd 3.70
La (0.0000, 0.5000, 0.5000)  8 Nd 3.50-3.63

- Electronic total energy: -5.049 eV per atom
- Magnetic moment: 0.000 μB per cell

(10)
## LaNd12Th5 (PBE)

Data for a geometry-optimized LaNd12Th5 structure.

abc: 10.9349 10.9930 6.3309
angles: 72.58 90.01 60.16
Closest atoms and distances in Å follow each position.
Atoms (fractional coordinates):
Th (0.8307, 0.3389, 0.4890)  1 Th 3.57, 10 Nd 3.59-3.69, 1 La 3.70
Th (0.6658, 0.6680, 0.0005)  2 Th 3.57-3.62, 10 Nd 3.61-3.67
Th (0.3342, 0.3320, 0.9995)  2 Th 3.57-3.62, 10 Nd 3.61-3.67
Th (0.5000, 0.0000, 0.5000)  10 Nd 3.61-3.66, 2 Th 3.62
Th (0.1693, 0.6611, 0.5110)  1 Th 3.57, 10 Nd 3.59-3.69, 1 La 3.70
Nd (0.4966, 0.3328, 0.5000)  7 Nd 3.56-3.71, 5 Th 3.63-3.69
Nd (0.3328, 0.6622, 0.0019)  7 Nd 3.59-3.76, 4 Th 3.59-3.69, 1 La 3.68
Nd (0.9953, 0.3378, 0.9982)  7 Nd 3.59-3.75, 4 Th 3.59-3.69, 1 La 3.68
Nd (0.6588, 0.9999, 0.0001)  7 Nd 3.47-3.76, 4 Th 3.61, 1 La 3.73
Nd (0.1707, 0.3330, 0.4999)  7 Nd 3.56-3.71, 5 Th 3.62-3.69
Nd (0.8293, 0.6670, 0.5001)  7 Nd 3.56-3.71, 5 Th 3.62-3.69
Nd (0.1651, 0.9999, 0.5003)  7 Nd 3.61-3.71, 2 La 3.64-3.65, 3 Th 3.66-3.68
Nd (0.0047, 0.6622, 0.0018)  7 Nd 3.59-3.75, 4 Th 3.59-3.69, 1 La 3.68
Nd (0.5034, 0.6672, 0.5000)  7 Nd 3.56-3.71, 5 Th 3.63-3.69
Nd (0.6672, 0.3378, 0.9981)  7 Nd 3.59-3.76, 4 Th 3.59-3.69, 1 La 3.68
Nd (0.8349, 0.0001, 0.4997)  7 Nd 3.61-3.71, 2 La 3.64-3.65, 3 Th 3.66-3.68
Nd (0.3412, 0.0001, 0.9999)  7 Nd 3.47-3.76, 4 Th 3.61, 1 La 3.73
La (0.0000, 0.0000, 0.0000)  10 Nd 3.64-3.73, 2 Th 3.70

- Electronic total energy: -5.447 eV per atom
- Magnetic moment: 0.000 μB per cell

(11)
## La5Nd4Th (PBE)

Data for a geometry-optimized La5Nd4Th structure.

abc: 4.3651 4.3651 18.7520
angles: 90.00 90.00 90.00
Closest atoms and distances in Å follow each position.
Atoms (fractional coordinates):
La (0.5000, 0.5000, 0.3025)  8 Nd 3.57-3.71, 1 La 3.70
La (0.5000, 0.5000, 0.6975)  8 Nd 3.57-3.71, 1 La 3.70
La (0.5000, 0.5000, 0.9111)  1 La 3.33, 4 Th 3.51, 4 Nd 3.65
La (0.5000, 0.5000, 0.5000)  8 Nd 3.63, 2 La 3.70
La (0.5000, 0.5000, 0.0889)  1 La 3.33, 4 Th 3.51, 4 Nd 3.65
Nd (0.0000, 0.0000, 0.6016)  8 La 3.57-3.63, 2 Nd 3.81-3.86
Nd (0.0000, 0.0000, 0.8073)  1 Th 3.61, 8 La 3.65-3.71, 1 Nd 3.86
Nd (0.0000, 0.0000, 0.3984)  8 La 3.57-3.63, 2 Nd 3.81-3.86
Nd (0.0000, 0.0000, 0.1927)  1 Th 3.61, 8 La 3.65-3.71, 1 Nd 3.86
Th (0.0000, 0.0000, 0.0000)  8 La 3.51, 2 Nd 3.61

- Offset from the most stable computed form: 0 meV/atom
- Magnetic moment: 0.000 μB per cell

(12)
## LaNd2Th2 (PBE)

Data for a geometry-optimized LaNd2Th2 structure.

abc: 3.6339 3.6339 15.0047
angles: 90.00 90.00 120.00
Closest atoms and distances in Å follow each position.
Atoms (fractional coordinates):
Nd (0.6667, 0.3333, 0.7041)  6 Nd 3.63, 3 Th 3.67, 3 La 3.71
Nd (0.3333, 0.6667, 0.2959)  6 Nd 3.63, 3 Th 3.67, 3 La 3.71
Th (0.6667, 0.3333, 0.0954)  9 Th 3.55-3.63, 3 Nd 3.67
Th (0.3333, 0.6667, 0.9046)  9 Th 3.55-3.63, 3 Nd 3.67
La (0.0000, 0.0000, 0.5000)  6 La 3.63, 6 Nd 3.71

- Electronic total energy: -5.814 eV per atom
- Magnetic moment: 0.000 μB per cell

What did the second record say?
## La6Nd5Th2 (PBE)

Data for a geometry-optimized La6Nd5Th2 structure.

abc: 3.6714 11.8326 21.5106
angles: 90.00 90.00 90.00
Closest atoms and distances in Å follow each position.
Atoms (fractional coordinates):
Nd (0.5000, 0.3123, 0.4140)  3 Nd 3.67-3.88, 6 La 3.68-3.84, 2 Th 3.71
Nd (0.5000, 0.8123, 0.0860)  3 Nd 3.67-3.88, 6 La 3.68-3.84, 2 Th 3.71
Nd (0.5000, 0.5560, 0.2936)  5 La 3.52-3.67, 4 Th 3.56-3.68, 3 Nd 3.67-3.88
Nd (0.5000, 0.9440, 0.7936)  5 La 3.52-3.67, 4 Th 3.56-3.68, 3 Nd 3.67-3.88
Nd (0.5000, 0.5000, 0.0000)  6 La 3.48-3.72, 2 Nd 3.67
Nd (0.5000, 0.6877, 0.5860)  3 Nd 3.67-3.88, 6 La 3.68-3.84, 2 Th 3.71
Nd (0.5000, 0.0560, 0.2064)  5 La 3.52-3.67, 4 Th 3.56-3.68, 3 Nd 3.67-3.88
Nd (0.5000, 0.0000, 0.5000)  6 La 3.48-3.72, 2 Nd 3.67
Nd (0.5000, 0.4440, 0.7064)  5 La 3.52-3.67, 4 Th 3.56-3.68, 3 Nd 3.67-3.88
Nd (0.5000, 0.1877, 0.9140)  3 Nd 3.67-3.88, 6 La 3.68-3.84, 2 Th 3.71
Th (0.0000, 0.6958, 0.7357)  3 La 3.41-3.50, 6 Nd 3.56-3.71, 2 Th 3.67
Th (0.0000, 0.3042, 0.2643)  3 La 3.41-3.50, 6 Nd 3.56-3.71, 2 Th 3.67
Th (0.0000, 0.1958, 0.7643)  3 La 3.41-3.50, 6 Nd 3.56-3.71, 2 Th 3.67
Th (0.0000, 0.8042, 0.2357)  3 La 3.41-3.50, 6 Nd 3.56-3.71, 2 Th 3.67
La (0.0000, 0.0841, 0.0601)  3 La 3.26-3.58
La (0.0000, 0.5660, 0.1461)  1 Th 3.41, 4 La 3.52-3.67, 6 Nd 3.67-3.72
La (0.0000, 0.4159, 0.5601)  3 La 3.26-3.58
La (0.5000, 0.3151, 0.1257)  2 Nd 3.48-3.52, 2 Th 3.50, 6 La 3.52-3.67
La (0.0000, 0.0660, 0.3539)  1 Th 3.41, 4 La 3.52-3.67, 6 Nd 3.67-3.72
La (0.0000, 0.9340, 0.6461)  1 Th 3.41, 4 La 3.52-3.67, 6 Nd 3.67-3.72
La (0.5000, 0.8151, 0.3743)  2 Nd 3.48-3.52, 2 Th 3.50, 6 La 3.52-3.67
La (0.5000, 0.6849, 0.8743)  2 Nd 3.48-3.52, 2 Th 3.50, 6 La 3.52-3.67
La (0.5000, 0.1849, 0.6257)  2 Nd 3.48-3.52, 2 Th 3.50, 6 La 3.52-3.67
La (0.0000, 0.9159, 0.9399)  3 La 3.26-3.58
La (0.0000, 0.4340, 0.8539)  1 Th 3.41, 4 La 3.52-3.67, 6 Nd 3.67-3.72
La (0.0000, 0.5841, 0.4399)  3 La 3.26-3.58

- Electronic total energy: -5.138 eV per atom
- Magnetic moment: 0.000 μB per cell

Q: What is the formula in the eleventh record?
A: La5Nd4Th

Q: Look up the magnetic moment of the ninth one.
A: 0.000 μB per cell

Q: Look up the magnetic moment of the twelfth one.
A: 0.000 μB per cell